1.
Here is crystalline Sr2CSe at its relaxed geometry from the Alexandria database. Energies are from PBE-GGA.

```
Sr2CSe
1.0
0.000 3.648 3.648
3.648 0.000 3.648
3.648 3.648 0.000
Sr C Se
2 1 1
Cartesian
5.471 5.471 5.471
1.824 1.824 1.824
0.000 0.000 0.000
3.648 3.648 3.648
```

Summary:
Energy relative to the elements, uncorrected in eV per atom: -0.03
Theoretical density in g/cm3: 4.554
Spin magnetization in μB per atom: 0.5000

2.
Here is crystalline TaC3Se at its relaxed geometry from the Alexandria database. Energies are from PBE-GGA.

```
TaC3Se
1.0
-0.817 -1.103 -4.017
4.140 0.243 -0.908
0.466 -4.092 1.029
Se C Ta
1 3 1
Cartesian
1.895 -2.476 -1.948
0.233 -2.046 0.514
2.070 0.122 -0.454
-0.408 -0.552 -2.009
0.000 0.000 0.000
```

Summary:
Energy relative to the elements, uncorrected in eV per atom: 2.17
Theoretical density in g/cm3: 6.423
Spin magnetization in μB per atom: 0.0000

3.
Here is crystalline Ta4CSe5 at its relaxed geometry from the Alexandria database. Energies are from PBE-GGA.

```
Ta4CSe5
1.0
-0.350 -2.649 -2.172
-0.690 -4.517 5.620
-7.432 3.557 -0.410
C Ta Se
1 4 5
Cartesian
-0.175 -1.325 -1.086
-6.209 -2.572 4.137
-0.574 -3.599 4.482
-2.263 -1.037 -1.100
-7.899 -0.010 -1.445
-0.520 -3.583 1.724
-3.160 -2.984 4.148
-5.313 -0.625 -1.111
-5.777 -2.785 1.598
-2.696 -0.824 1.439
```

Summary:
Energy relative to the elements, uncorrected in eV per atom: -0.75
Theoretical density in g/cm3: 9.579
Spin magnetization in μB per atom: 0.0000